Na8As2Se | Alexandria via LeMat-Bulk | GGA-PBE | relaxed; mass density = 2.4 g/cm3; energy relative to the elements, uncorrected = -0.569 eV/atom; energy above the most stable polymorph in this dataset = 0.0 meV per atom
1.0
4.951 0.000 0.000
0.000 7.022 -0.165
-2.476 -3.209 8.123
Na As Se
8 2 1
Direct
0.601 0.438 0.203
0.788 0.693 0.576
0.018 0.771 0.037
0.399 0.562 0.797
0.668 0.947 0.336
0.212 0.307 0.424
0.332 0.053 0.664
0.982 0.229 0.963
0.831 0.326 0.663
0.169 0.674 0.337
0.500 0.000 0.000